Entry 1:
! Ba2Zn (PBEsol, relaxed); values from VASP
&SYSTEM
  ibrav = 0, nat = 6, ntyp = 2
/
ATOMIC_SPECIES
Zn 65.41 Zn.upf
Ba 137.33 Ba.upf
CELL_PARAMETERS angstrom
4.290 0.000 0.000
2.145 7.534 -0.028
2.145 1.836 7.830
ATOMIC_POSITIONS angstrom
Zn 4.290 0.690 1.416
Zn 4.290 8.680 6.387
Ba 4.290 3.740 7.056
Ba 2.145 2.573 3.332
Ba 6.436 6.797 4.470
Ba 4.290 5.631 0.746
! Fermi-level density of states, states/eV per atom: 1.01
! Magnetization, μB per cell: 0.0

=====

Entry 2:
! Ba2Zn (PBEsol, relaxed); values from VASP
&SYSTEM
  ibrav = 0, nat = 24, ntyp = 2
/
ATOMIC_SPECIES
Ba 137.33 Ba.upf
Zn 65.41 Zn.upf
CELL_PARAMETERS angstrom
10.959 0.000 0.000
5.479 9.490 0.000
5.479 3.163 8.948
ATOMIC_POSITIONS angstrom
Ba 5.479 3.163 5.592
Ba 5.479 6.327 1.118
Ba 8.219 1.582 1.118
Ba 2.740 1.582 1.118
Ba 16.438 7.088 5.012
Ba 14.357 10.692 5.012
Ba 14.357 8.289 8.410
Ba 18.519 10.692 5.012
Ba 18.519 8.289 8.410
Ba 16.438 11.893 8.410
Ba 10.959 8.730 6.173
Ba 13.039 5.126 6.173
Ba 13.039 7.528 2.775
Ba 8.878 5.126 6.173
Ba 8.878 7.528 2.775
Ba 10.959 3.924 2.775
Zn 7.562 4.366 3.087
Zn 14.355 4.366 3.087
Zn 10.959 10.249 3.087
Zn 10.959 6.327 8.634
Zn 19.834 11.451 8.097
Zn 13.041 11.451 8.097
Zn 16.438 5.568 8.097
Zn 16.438 9.490 2.551
! Fermi-level density of states, states/eV per atom: 1.31
! Magnetization, μB per cell: 0.0

=====

| no. | formation energy (eV per formula unit) | raw total energy (eV per atom) |
| --- | --- | --- |
| 1 | -0.21 | -2.03 |
| 2 | -0.04 | -1.97 |